BaAl2Pd2 | PBE-GGA | relaxed

* density of states at the Fermi level: 3.897 states/eV per cell
* total DFT energy (no corrections): -4.38 eV per atom
* formation energy: -2.120 eV/f.u.

abc: 8.164 8.164 2.997
angles: 90.00 90.00 90.00
Space group P4/mbm (No. 127)
Asymmetric unit:
Ba: 0.000 0.000 0.000 (multiplicity 2)
Al: 0.124 0.376 0.500 (multiplicity 4)
Pd: 0.154 0.654 0.000 (multiplicity 4)



BaAlPd2 | PBE-GGA | relaxed

* density of states at the Fermi level: 7.128 states/eV per cell
* total DFT energy (no corrections): -4.49 eV per atom
* formation energy: -1.916 eV/f.u.

abc: 5.308 5.308 16.360
angles: 90.00 90.00 90.00
Space group I-42d (No. 122)
Asymmetric unit:
Ba: 0.000 0.000 0.000 (multiplicity 4)
Al: 0.000 0.000 0.500 (multiplicity 4)
Pd: 0.005 0.250 0.625 (multiplicity 8)



BaAl12Pd6 | PBE-GGA | relaxed

* density of states at the Fermi level: 12.951 states/eV per cell
* total DFT energy (no corrections): -4.73 eV per atom
* formation energy: -11.856 eV/f.u.

abc: 11.4698 11.4698 8.8761
angles: 90.00 90.00 120.00
Space group R-3m (No. 166, hexagonal axes)
Asymmetric unit:
Ba: 0.0000 0.0000 0.0000 (multiplicity 3)
Al: 0.0000 0.3837 0.5000 (multiplicity 18)
Al: 0.0864 0.1728 0.3258 (multiplicity 18)
Pd: 0.0487 0.5244 0.2492 (multiplicity 18)



Ba2Al12Pd7 | PBE-GGA | relaxed

* density of states at the Fermi level: 10.747 states/eV per cell
* total DFT energy (no corrections): -4.72 eV per atom
* formation energy: -13.973 eV/f.u.

abc: 10.1598 10.1598 4.2845
angles: 90.00 90.00 120.00
Space group P-6 (No. 174)
Asymmetric unit:
Ba: 0.0000 0.0000 0.0000 (multiplicity 1)
Ba: 0.3333 0.6667 0.5000 (multiplicity 1)
Al: 0.0135 0.2821 0.5000 (multiplicity 3)
Al: 0.1491 0.7642 0.0000 (multiplicity 3)
Al: 0.3811 0.2117 0.0000 (multiplicity 3)
Al: 0.5496 0.4159 0.5000 (multiplicity 3)
Pd: 0.0108 0.4487 0.0000 (multiplicity 3)
Pd: 0.2575 0.2514 0.5000 (multiplicity 3)
Pd: 0.6667 0.3333 0.0000 (multiplicity 1)



BaAlPd2 | PBE-GGA | relaxed

* density of states at the Fermi level: 2.704 states/eV per cell
* total DFT energy (no corrections): -4.74 eV per atom
* formation energy: -2.898 eV/f.u.

abc: 4.395 6.970 6.365
angles: 90.00 90.00 90.00
Space group Pmmn (No. 59, origin choice 2)
Asymmetric unit:
Ba: 0.250 0.250 0.137 (multiplicity 2)
Al: 0.250 0.750 0.388 (multiplicity 2)
Pd: 0.250 0.053 0.627 (multiplicity 4)



BaAl2Pd2 | PBE-GGA | relaxed

* density of states at the Fermi level: 5.577 states/eV per cell
* total DFT energy (no corrections): -4.63 eV per atom
* formation energy: -3.356 eV/f.u.

abc: 4.322 4.322 11.897
angles: 90.00 90.00 90.00
Space group I4/mmm (No. 139)
Asymmetric unit:
Ba: 0.000 0.000 0.000 (multiplicity 2)
Al: 0.000 0.500 0.250 (multiplicity 4)
Pd: 0.000 0.000 0.365 (multiplicity 4)



BaAlPd | PBE-GGA | relaxed

* density of states at the Fermi level: 3.038 states/eV per cell
* total DFT energy (no corrections): -4.13 eV per atom
* formation energy: -1.530 eV/f.u.

abc: 4.3760 4.3760 5.1544
angles: 90.00 90.00 120.00
Space group P-6m2 (No. 187)
Asymmetric unit:
Ba: 0.0000 0.0000 0.0000 (multiplicity 1)
Al: 0.3333 0.6667 0.5000 (multiplicity 1)
Pd: 0.6667 0.3333 0.5000 (multiplicity 1)



Ba3Al9Pd2 | PBE-GGA | relaxed

* density of states at the Fermi level: 12.940 states/eV per cell
* total DFT energy (no corrections): -3.94 eV per atom
* formation energy: -5.338 eV/f.u.

abc: 4.418 11.820 12.885
angles: 90.00 90.00 90.00
Space group Immm (No. 71)
Asymmetric unit:
Ba: 0.000 0.000 0.000 (multiplicity 2)
Ba: 0.000 0.000 0.296 (multiplicity 4)
Al: 0.000 0.299 0.107 (multiplicity 8)
Al: 0.000 0.308 0.318 (multiplicity 8)
Al: 0.000 0.500 0.000 (multiplicity 2)
Pd: 0.000 0.221 0.500 (multiplicity 4)



BaAlPdPt | PBE-GGA | relaxed

* density of states at the Fermi level: 3.204 states/eV per cell
* total DFT energy (no corrections): -5.04 eV per atom
* formation energy: -3.246 eV/f.u.

abc: 7.586 4.391 6.302
angles: 90.00 113.63 90.00
Space group Cm (No. 8)
Asymmetric unit:
Ba: 0.000 0.000 0.000 (multiplicity 2)
Al: 0.006 0.500 0.518 (multiplicity 2)
Pd: 0.300 0.500 0.401 (multiplicity 2)
Pt: 0.201 0.000 0.603 (multiplicity 2)



BaAl2Pd2Pt | PBE-GGA | relaxed

* density of states at the Fermi level: 1.919 states/eV per cell
* total DFT energy (no corrections): -4.90 eV per atom
* formation energy: -3.562 eV/f.u.

abc: 4.760 4.760 6.027
angles: 90.00 90.00 90.00
Space group P4/mmm (No. 123)
Asymmetric unit:
Ba: 0.000 0.000 0.000 (multiplicity 1)
Al: 0.000 0.500 0.500 (multiplicity 2)
Pd: 0.500 0.500 0.267 (multiplicity 2)
Pt: 0.000 0.000 0.500 (multiplicity 1)



Ba2Al4PdPt3 | PBE-GGA | relaxed

* density of states at the Fermi level: 3.690 states/eV per cell
* total DFT energy (no corrections): -5.08 eV per atom
* formation energy: -8.651 eV/f.u.

abc: 4.520 4.520 10.468
angles: 90.00 90.00 90.00
Space group P-4m2 (No. 115)
Asymmetric unit:
Ba: 0.000 0.500 0.246 (multiplicity 2)
Al: 0.000 0.000 0.500 (multiplicity 1)
Al: 0.000 0.500 0.884 (multiplicity 2)
Al: 0.500 0.500 0.500 (multiplicity 1)
Pd: 0.500 0.500 0.000 (multiplicity 1)
Pt: 0.000 0.000 0.000 (multiplicity 1)
Pt: 0.000 0.500 0.624 (multiplicity 2)



Ba2Al3Pd12Pt | PBE-GGA | relaxed

* density of states at the Fermi level: 25.424 states/eV per cell
* total DFT energy (no corrections): -4.79 eV per atom
* formation energy: -2.753 eV/f.u.

abc: 8.3497 8.3497 19.3479
angles: 90.00 90.00 120.00
Space group R-3m (No. 166, hexagonal axes)
Asymmetric unit:
Ba: 0.0000 0.0000 0.1156 (multiplicity 6)
Al: 0.0000 0.5000 0.0000 (multiplicity 9)
Pd: 0.0055 0.5027 0.8759 (multiplicity 18)
Pd: 0.0260 0.5130 0.3719 (multiplicity 18)
Pt: 0.0000 0.0000 0.5000 (multiplicity 3)



BaAlPdS2 | PBE-GGA | relaxed

* density of states at the Fermi level: 1.391 states/eV per cell
* total DFT energy (no corrections): -4.48 eV per atom
* formation energy (no corrections): -0.661 eV per atom

abc: 5.160 5.160 4.583
angles: 90.00 90.00 90.00
Space group P4/mmm (No. 123)
Asymmetric unit:
Ba: 0.000 0.000 0.000 (multiplicity 1)
Al: 0.500 0.500 0.000 (multiplicity 1)
Pd: 0.500 0.500 0.500 (multiplicity 1)
S: 0.000 0.500 0.500 (multiplicity 2)



Ba2AlSiPd6 | PBE-GGA | relaxed

* density of states at the Fermi level: 37.277 states/eV per cell
* total DFT energy (no corrections): -5.03 eV per atom
* formation energy (no corrections): -0.609 eV per atom

abc: 6.4852 6.4852 35.2615
angles: 90.00 90.00 120.00
Space group R-3m (No. 166, hexagonal axes)
Asymmetric unit:
Ba: 0.0000 0.0000 0.1105 (multiplicity 6)
Ba: 0.0000 0.0000 0.2826 (multiplicity 6)
Al: 0.0000 0.0000 0.4230 (multiplicity 6)
Si: 0.0000 0.0000 0.0000 (multiplicity 3)
Si: 0.0000 0.0000 0.5000 (multiplicity 3)
Pd: 0.0420 0.5210 0.8650 (multiplicity 18)
Pd: 0.0478 0.5239 0.3028 (multiplicity 18)



BaAlSi2Pd | PBE-GGA | relaxed

* density of states at the Fermi level: 2.954 states/eV per cell
* total DFT energy (no corrections): -4.85 eV per atom
* formation energy (no corrections): -0.513 eV per atom

abc: 4.350 4.350 10.762
angles: 90.00 90.00 90.00
Space group I-4m2 (No. 119)
Asymmetric unit:
Ba: 0.000 0.000 0.000 (multiplicity 2)
Al: 0.000 0.500 0.250 (multiplicity 2)
Si: 0.000 0.000 0.380 (multiplicity 4)
Pd: 0.000 0.500 0.750 (multiplicity 2)



Ba2Al4Si3Pd | PBE-GGA | relaxed

* density of states at the Fermi level: 2.914 states/eV per cell
* total DFT energy (no corrections): -4.39 eV per atom
* formation energy (no corrections): -0.364 eV per atom

abc: 4.515 4.515 10.632
angles: 90.00 90.00 90.00
Space group P-4m2 (No. 115)
Asymmetric unit:
Ba: 0.000 0.500 0.248 (multiplicity 2)
Al: 0.000 0.000 0.500 (multiplicity 1)
Al: 0.000 0.500 0.883 (multiplicity 2)
Al: 0.500 0.500 0.500 (multiplicity 1)
Si: 0.000 0.000 0.000 (multiplicity 1)
Si: 0.000 0.500 0.626 (multiplicity 2)
Pd: 0.500 0.500 0.000 (multiplicity 1)



Ba2AlSnPd6 | PBE-GGA | relaxed

* density of states at the Fermi level: 3.327 states/eV per cell
* total DFT energy (no corrections): -4.88 eV per atom
* formation energy: -6.102 eV/f.u.

abc: 5.832 6.903 7.124
angles: 74.98 65.94 65.06
Space group P-1 (No. 2)
Asymmetric unit:
Ba: 0.247 0.300 0.205 (multiplicity 2)
Al: 0.500 0.500 0.500 (multiplicity 1)
Sn: 0.000 0.000 0.000 (multiplicity 1)
Pd: 0.228 0.770 0.284 (multiplicity 2)
Pd: 0.254 0.880 0.612 (multiplicity 2)
Pd: 0.282 0.230 0.717 (multiplicity 2)



BaAl2SnPd | PBE-GGA | relaxed

* density of states at the Fermi level: 3.699 states/eV per cell
* total DFT energy (no corrections): -3.60 eV per atom
* formation energy: 0.627 eV/f.u.

abc: 5.382 5.382 5.133
angles: 90.00 90.00 90.00
Space group P4/mmm (No. 123)
Asymmetric unit:
Ba: 0.000 0.000 0.000 (multiplicity 1)
Al: 0.000 0.500 0.500 (multiplicity 2)
Sn: 0.500 0.500 0.500 (multiplicity 1)
Pd: 0.500 0.500 0.000 (multiplicity 1)



BaSrAlPd | PBE-GGA | relaxed

* density of states at the Fermi level: 7.996 states/eV per cell
* total DFT energy (no corrections): -3.59 eV per atom
* formation energy: -1.833 eV/f.u.

abc: 7.781 4.495 8.796
angles: 90.00 107.26 90.00
Space group Cm (No. 8)
Asymmetric unit:
Ba: 0.000 0.000 0.000 (multiplicity 2)
Sr: 0.326 0.500 0.481 (multiplicity 2)
Al: 0.076 0.500 0.729 (multiplicity 2)
Pd: 0.241 0.000 0.726 (multiplicity 2)



BaSr2AlPd | PBE-GGA | relaxed

* density of states at the Fermi level: 3.509 states/eV per cell
* total DFT energy (no corrections): -3.09 eV per atom
* formation energy: -1.253 eV/f.u.

abc: 5.960 5.960 5.101
angles: 90.00 90.00 90.00
Space group P4/mmm (No. 123)
Asymmetric unit:
Ba: 0.000 0.000 0.000 (multiplicity 1)
Sr: 0.000 0.500 0.500 (multiplicity 2)
Al: 0.500 0.500 0.000 (multiplicity 1)
Pd: 0.500 0.500 0.500 (multiplicity 1)